i:
Compound: Cr3GaAg
Source: Alexandria via LeMat-Bulk
Functional: PBE
Structure: optimized geometry

- Space group: Pm-3m
- Magnetization: 13.5 μB/f.u.

abc: 5.0085 5.0085 5.0085
angles: 90.00 90.00 90.00
Last column: nearest neighbours and their distance in Å.
Sites, in units of the cell vectors:
Cr 0.0000 0.0000 0.5000  2 Ag 2.50
Cr 0.0000 0.5000 0.0000  2 Ag 2.50
Cr 0.5000 0.0000 0.0000  2 Ag 2.50
Ga 0.5000 0.5000 0.5000  12 Cr 3.54
Ag 0.0000 0.0000 0.0000  6 Cr 2.50

ii:
Compound: Cr3GaAg
Source: Alexandria via LeMat-Bulk
Functional: PBE
Structure: optimized geometry

- Space group: Pm-3m
- Magnetization: 12.0 μB/f.u.

abc: 4.7496 4.7496 4.7496
angles: 90.00 90.00 90.00
Last column: nearest neighbours and their distance in Å.
Sites, in units of the cell vectors:
Cr 0.0000 0.0000 0.5000  2 Ga 2.37
Cr 0.0000 0.5000 0.0000  2 Ga 2.37
Cr 0.5000 0.0000 0.0000  2 Ga 2.37
Ga 0.0000 0.0000 0.0000  6 Cr 2.37
Ag 0.5000 0.5000 0.5000  12 Cr 3.36

Stability check: which of them is most stable? ii.

i:
Compound: CrGa2Ag
Source: Alexandria via LeMat-Bulk
Functional: PBE
Structure: optimized geometry

- Space group: P4/mmm
- Magnetization: 2.7 μB/f.u.

abc: 4.0683 4.0683 3.7993
angles: 90.00 90.00 90.00
Last column: nearest neighbours and their distance in Å.
Sites, in units of the cell vectors:
Cr 0.0000 0.0000 0.0000  8 Ga 2.78, 4 Ag 2.88
Ga 0.0000 0.5000 0.5000  4 Ag 2.78, 4 Cr 2.78, 4 Ga 2.88
Ga 0.5000 0.0000 0.5000  4 Ag 2.78, 4 Cr 2.78, 4 Ga 2.88
Ag 0.5000 0.5000 0.0000  8 Ga 2.78, 4 Cr 2.88

ii:
Compound: CrGa2Ag
Source: Alexandria via LeMat-Bulk
Functional: PBE
Structure: optimized geometry

- Space group: I-42d
- Magnetization: 0.0 μB/f.u.

abc: 5.6211 5.6211 5.6211
angles: 104.71 104.71 119.48
Last column: nearest neighbours and their distance in Å.
Sites, in units of the cell vectors:
Cr 0.0000 0.0000 0.0000  4 Ga 2.48
Cr 0.7500 0.2500 0.5000  4 Ga 2.48
Ga 0.1151 0.1250 0.4901  2 Cr 2.48, 2 Ag 2.58
Ga 0.3750 0.8849 0.0099  2 Cr 2.48, 2 Ag 2.58
Ga 0.6349 0.6250 0.5099  2 Cr 2.48, 2 Ag 2.58
Ga 0.8750 0.3651 0.9901  2 Cr 2.48, 2 Ag 2.58
Ag 0.2500 0.7500 0.5000  4 Ga 2.58, 2 Cr 2.83
Ag 0.5000 0.5000 0.0000  4 Ga 2.58, 2 Cr 2.83

Stability check: which of them is most stable? i.